Record 1
## LaZnSi (GGA-PBE)

Data for a relaxed structure of LaZnSi. Values from VASP.

Values from the calculation:
Mass density: 5.68 g/cm3
VASP energy: -4.5123 eV/atom
Space group: P-6m2
N(E_F): 3.0 states/eV/f.u.
Formation energy without anion corrections: -637 meV/atom

Structure (Quantum ESPRESSO input):
```
&SYSTEM
  ibrav = 0, nat = 3, ntyp = 3
/
ATOMIC_SPECIES
Zn 65.41 Zn.upf
La 138.91 La.upf
Si 28.09 Si.upf
CELL_PARAMETERS angstrom
-0.382 -2.173 3.611
-2.624 -0.781 -3.227
2.777 -3.025 -1.527
ATOMIC_POSITIONS crystal
Zn 0.333 0.667 0.500
La 0.000 0.000 0.000
Si 0.667 0.333 0.500
```


Record 2
## PrHf2H (GGA-PBE)

Data for a relaxed structure of PrHf2H. Values from VASP.

Values from the calculation:
Mass density: 10.32 g/cm3
VASP energy: -6.8578 eV/atom
Space group: R-3m
N(E_F): 4.5 states/eV/f.u.

Structure (Quantum ESPRESSO input):
```
&SYSTEM
  ibrav = 0, nat = 4, ntyp = 3
/
ATOMIC_SPECIES
Pr 140.91 Pr.upf
H 1.01 H.upf
Hf 178.49 Hf.upf
CELL_PARAMETERS angstrom
-1.904 2.617 0.320
-1.744 0.420 2.713
5.452 5.423 4.613
ATOMIC_POSITIONS crystal
Pr 0.000 0.000 0.000
H 0.500 0.500 0.500
Hf 0.880 0.880 0.359
Hf 0.120 0.120 0.641
```


Record 3
## PmZrAl2 (GGA-PBE)

Data for a relaxed structure of PmZrAl2. Values from VASP.

Values from the calculation:
Polymorph energy (0 for the lowest one): 0.077 eV per atom
Mass density: 5.45 g/cm3
Formation enthalpy at 0 K: -0.2632 eV per atom
VASP energy: -5.4592 eV/atom
Space group: P4/mmm
N(E_F): 3.4 states/eV/f.u.

Structure (Quantum ESPRESSO input):
```
&SYSTEM
  ibrav = 0, nat = 4, ntyp = 3
/
ATOMIC_SPECIES
Al 26.98 Al.upf
Zr 91.22 Zr.upf
Pm 145.00 Pm.upf
CELL_PARAMETERS angstrom
4.168 0.000 0.000
0.000 4.605 0.000
0.000 0.000 4.605
ATOMIC_POSITIONS crystal
Al 0.000 0.500 0.000
Al 0.000 0.000 0.500
Zr 0.500 0.000 0.000
Pm 0.500 0.500 0.500
```


Record 4
## Nd3Y (GGA-PBE)

Data for a relaxed structure of Nd3Y. Values from VASP.

Values from the calculation:
Polymorph energy (0 for the lowest one): 0.032 eV per atom
Mass density: 6.21 g/cm3
Formation enthalpy at 0 K: 0.0293 eV per atom
VASP energy: -5.1625 eV/atom
Space group: Pmm2
N(E_F): 7.4 states/eV/f.u.

Structure (Quantum ESPRESSO input):
```
&SYSTEM
  ibrav = 0, nat = 4, ntyp = 2
/
ATOMIC_SPECIES
Nd 144.24 Nd.upf
Y 88.91 Y.upf
CELL_PARAMETERS angstrom
3.697 0.000 0.000
0.000 5.907 0.000
0.000 0.000 6.386
ATOMIC_POSITIONS crystal
Nd 0.000 0.500 0.334
Nd 0.500 0.500 0.832
Nd 0.500 0.000 0.500
Y 0.000 0.000 0.001
```